# 1
Below is Mg2AlHg after structural relaxation, with properties calculated at the PBE level.

Unit cell a=9.3268 b=9.3268 c=9.3268 alpha=20.30 beta=20.30 gamma=20.30
Fractional coordinates of all 4 atoms:
1 Mg 0.2489 0.2489 0.2489
2 Mg 0.7511 0.7511 0.7511
3 Al 0.5000 0.5000 0.5000
4 Hg 0.0000 0.0000 0.0000

## Properties
* relative energy among the computed polymorphs: 53 meV per atom
* crystal system: trigonal

=====

# 2
Below is Mg5AlHg2 after structural relaxation, with properties calculated at the PBE level.

Unit cell a=4.6828 b=4.6828 c=19.2733 alpha=90.00 beta=90.00 gamma=120.00
Fractional coordinates of all 16 atoms:
1 Mg 0.0000 0.0000 0.1632
2 Mg 0.0000 0.0000 0.3368
3 Mg 0.0000 0.0000 0.6632
4 Mg 0.0000 0.0000 0.8368
5 Mg 0.3333 0.6667 0.0486
6 Mg 0.3333 0.6667 0.2500
7 Mg 0.3333 0.6667 0.4514
8 Mg 0.6667 0.3333 0.5486
9 Mg 0.6667 0.3333 0.7500
10 Mg 0.6667 0.3333 0.9514
11 Al 0.3333 0.6667 0.7500
12 Al 0.6667 0.3333 0.2500
13 Hg 0.3333 0.6667 0.6022
14 Hg 0.3333 0.6667 0.8978
15 Hg 0.6667 0.3333 0.1022
16 Hg 0.6667 0.3333 0.3978

## Properties
* crystal system: hexagonal

=====

# 3
Below is MgAlHg3 after structural relaxation, with properties calculated at the PBE level.

Unit cell a=5.3559 b=5.3559 c=5.3559 alpha=90.00 beta=90.00 gamma=90.00
Fractional coordinates of all 5 atoms:
1 Mg 0.0000 0.0000 0.0000
2 Al 0.5000 0.5000 0.5000
3 Hg 0.0000 0.0000 0.5000
4 Hg 0.0000 0.5000 0.0000
5 Hg 0.5000 0.0000 0.0000

## Properties
* relative energy among the computed polymorphs: 209 meV per atom
* crystal system: cubic

=====

no.,DOS(E_F) (states/eV per cell),ρ (g/cm3),VASP energy (eV per atom)
1,2.527,5.37,-1.84
2,6.486,4.99,-1.61
3,3.266,7.06,-0.85